[1]
Computed, not measured: an optimized crystal structure of Ba2Al3Ag2 at the PBE-GGA level of DFT.

The formation enthalpy at 0 K comes out at -0.207 eV/atom.

It has space group C2/m (No. 12), with a = 12.538 Å, b = 4.601 Å, c = 7.250 Å, α = 90.00°, β = 102.14° and γ = 90.00°. The distinct sites, in fractional coordinates, are Ba at (0.180, 0.000, 0.228), Al at (0.000, 0.500, 0.500), Al at (0.057, 0.500, 0.870) and Ag at (0.080, 0.000, 0.688).

***

[2]
Computed, not measured: an optimized crystal structure of Zr2VCoH at the PBE-GGA level of DFT.

The value obtained for the final energy is -37.27 eV/f.u.

It has space group P4/mmm (No. 123), with a = 4.580 Å, b = 4.580 Å, c = 3.409 Å, α = 90.00°, β = 90.00° and γ = 90.00°. The distinct sites, in fractional coordinates, are Zr at (0.000, 0.500, 0.000), V at (0.000, 0.000, 0.500), Co at (0.500, 0.500, 0.500) and H at (0.500, 0.500, 0.000).

***

[3]
Computed, not measured: an optimized crystal structure of Na2TlCu2 at the PBE-GGA level of DFT.

The formation enthalpy at 0 K comes out at 0.344 eV/atom.

It has space group P4/mbm (No. 127), with a = 8.452 Å, b = 8.452 Å, c = 3.055 Å, α = 90.00°, β = 90.00° and γ = 90.00°. The distinct sites, in fractional coordinates, are Na at (0.134, 0.366, 0.000), Tl at (0.000, 0.000, 0.000) and Cu at (0.163, 0.663, 0.500).

***

[4]
Computed, not measured: an optimized crystal structure of CrCuOs2 at the PBE-GGA level of DFT.

The formation enthalpy at 0 K comes out at 0.328 eV/atom.

It has space group Fm-3m (No. 225), with a = 5.945 Å, b = 5.945 Å, c = 5.945 Å, α = 90.00°, β = 90.00° and γ = 90.00°. The distinct sites, in fractional coordinates, are Cr at (0.000, 0.000, 0.000), Cu at (0.000, 0.000, 0.500) and Os at (0.250, 0.250, 0.250).

***

[5]
Computed, not measured: an optimized crystal structure of Pr7Dy2Ho2 at the PBE-GGA level of DFT.

The formation enthalpy at 0 K comes out at 0.134 eV/atom.

It has space group C2/m (No. 12), with a = 11.532 Å, b = 11.602 Å, c = 6.167 Å, α = 90.00°, β = 111.83° and γ = 90.00°. The distinct sites, in fractional coordinates, are Pr at (0.000, 0.000, 0.000), Pr at (0.075, 0.500, 0.800), Pr at (0.182, 0.232, 0.181), Dy at (0.227, 0.000, 0.590) and Ho at (0.000, 0.214, 0.500).

***

[6]
Computed, not measured: an optimized crystal structure of SiTeIr2 at the PBE-GGA level of DFT.

The formation energy (no corrections) is 21 kJ per mole of atoms.

It has space group P4mm (No. 99), with a = 2.988 Å, b = 2.988 Å, c = 7.785 Å, α = 90.00°, β = 90.00° and γ = 90.00°. The distinct sites, in fractional coordinates, are Si at (0.000, 0.000, 0.000), Te at (0.500, 0.500, 0.341), Ir at (0.000, 0.000, 0.570) and Ir at (0.500, 0.500, 0.831).

***

Question: What is the formula in the third record?
Answer: Na2TlCu2